[1]
Pm4Zn3In after structural relaxation. Source: Alexandria via LeMat-Bulk, functional GGA-PBE.

The calculation puts the formation energy from the elements at -343 meV/atom. As for the total DFT energy (no corrections): -28.3 eV/cell. Its crystal system is orthorhombic. For the magnetic moment, the calculation gives 0.0 μB per formula unit. The calculation puts the density at 7.21 g/cm³.

a b c (Å): 3.7068 5.2637 10.5226
angles (deg): 90.00 90.00 90.00
Space group Pmmm (No. 47)
Unique sites:
Pm1 0.0000 0.0000 0.0000 x1
Pm2 0.0000 0.0000 0.5000 x1
Pm3 0.0000 0.5000 0.2387 x2
Zn1 0.5000 0.0000 0.2484 x2
Zn2 0.5000 0.5000 0.0000 x1
In1 0.5000 0.5000 0.5000 x1


[2]
Pm2Zn3In2 after structural relaxation. Source: Alexandria via LeMat-Bulk, functional GGA-PBE.

The calculation puts the formation energy from the elements at -145 meV/atom. As for the total DFT energy (no corrections): -39.6 eV/cell. Its crystal system is orthorhombic. For the magnetic moment, the calculation gives 0.0 μB per formula unit. The calculation puts the density at 7.12 g/cm³.

a b c (Å): 4.5170 22.6369 3.2633
angles (deg): 90.00 90.00 90.00
Space group Cmmm (No. 65)
Unique sites:
Pm1 0.0000 0.1367 0.0000 x4
Zn1 0.0000 0.0000 0.0000 x2
Zn2 0.0000 0.4409 0.5000 x4
In1 0.0000 0.2889 0.5000 x4


[3]
Pm2Zn15In2 after structural relaxation. Source: Alexandria via LeMat-Bulk, functional GGA-PBE.

The calculation puts the formation energy from the elements at -211 meV/atom. As for the total DFT energy (no corrections): -114.3 eV/cell. Its crystal system is trigonal. For the magnetic moment, the calculation gives 0.0 μB per formula unit. The calculation puts the density at 7.54 g/cm³.

a b c (Å): 9.2798 9.2798 13.2993
angles (deg): 90.00 90.00 120.00
Space group R-3m (No. 166, hexagonal axes)
Unique sites:
Pm1 0.0000 0.0000 0.1579 x6
Zn1 0.0000 0.3096 0.5000 x18
Zn2 0.0000 0.5000 0.0000 x9
Zn3 0.0163 0.5081 0.6557 x18
In1 0.0000 0.0000 0.3952 x6


[4]
Pm3ZnIn3 after structural relaxation. Source: Alexandria via LeMat-Bulk, functional GGA-PBE.

The calculation puts the formation energy from the elements at -443 meV/atom. As for the total DFT energy (no corrections): -107.4 eV/cell. Its crystal system is monoclinic. For the magnetic moment, the calculation gives 0.0 μB per formula unit. The calculation puts the density at 7.22 g/cm³.

a b c (Å): 11.4480 4.7161 15.2325
angles (deg): 90.00 109.06 90.00
Space group C2/m (No. 12)
Unique sites:
Pm1 0.0444 0.0000 0.3866 x4
Pm2 0.0954 0.0000 0.9172 x4
Pm3 0.2424 0.0000 0.2228 x4
Zn1 0.2462 0.5000 0.3894 x4
In1 0.0338 0.5000 0.2380 x4
In2 0.1199 0.5000 0.0730 x4
In3 0.1368 0.5000 0.5464 x4


Q: Look up the total DFT energy (no corrections) of the second one.
A: -39.6 eV/cell


What did the second record say?
Pm2Zn3In2 after structural relaxation. Source: Alexandria via LeMat-Bulk, functional GGA-PBE.

The calculation puts the formation energy from the elements at -145 meV/atom. As for the total DFT energy (no corrections): -39.6 eV/cell. Its crystal system is orthorhombic. For the magnetic moment, the calculation gives 0.0 μB per formula unit. The calculation puts the density at 7.12 g/cm³.

a b c (Å): 4.5170 22.6369 3.2633
angles (deg): 90.00 90.00 90.00
Space group Cmmm (No. 65)
Unique sites:
Pm1 0.0000 0.1367 0.0000 x4
Zn1 0.0000 0.0000 0.0000 x2
Zn2 0.0000 0.4409 0.5000 x4
In1 0.0000 0.2889 0.5000 x4


Q: What is the density in the third record?
A: 7.54 g/cm³